A geometry-optimized HoTiGaRu structure. Source: the Alexandria database, functional PBE.

Output
**ΔH_f (0 K)**: -1.40 eV per formula unit
**Calculated volume**: 72.3 Å³/f.u.
**Magnetization**: 0.012 μB per atom

Cell lengths 4.6752, 4.6752, 4.6752 Å; angles 60.00, 60.00, 60.00 degrees
Closest atoms and distances in Å follow each position.
Atoms (fractional coordinates):
1 Ru 0.5000 0.5000 0.5000  4 Ho 2.86, 4 Ti 2.86
2 Ho 0.2500 0.2500 0.2500  4 Ga 2.86, 4 Ru 2.86
3 Ga 0.0000 0.0000 0.0000  4 Ti 2.86, 4 Ho 2.86
4 Ti 0.7500 0.7500 0.7500  4 Ru 2.86, 4 Ga 2.86

=====

A geometry-optimized NaDyZr structure. Source: the Alexandria database, functional PBE.

Output
**ΔH_f (0 K)**: 1.28 eV per formula unit
**Calculated volume**: 96.3 Å³/f.u.
**Magnetization**: 0.000 μB per atom

Cell lengths 4.1226, 4.1226, 11.3304 Å; angles 90.00, 90.00, 90.00 degrees
Closest atoms and distances in Å follow each position.
Atoms (fractional coordinates):
1 Dy 0.5000 0.0000 0.2221  4 Zr 3.25
2 Dy 0.0000 0.5000 0.7779  4 Zr 3.25
3 Na 0.5000 0.0000 0.5802  4 Na 3.44, 4 Dy 3.68
4 Na 0.0000 0.5000 0.4198  4 Na 3.44, 4 Dy 3.68
5 Zr 0.5000 0.5000 0.0000  4 Zr 2.92, 4 Dy 3.25
6 Zr 0.0000 0.0000 0.0000  4 Zr 2.92, 4 Dy 3.25

=====

A geometry-optimized Sm5HoEr structure. Source: the Alexandria database, functional PBE.

Output
**ΔH_f (0 K)**: 1.26 eV per formula unit
**ΔE to the lowest computed polymorph**: 0.000 eV/atom
**Calculated volume**: 239.9 Å³/f.u.
**Magnetization**: 0.000 μB per atom

Cell lengths 10.3911, 6.2590, 16.9904 Å; angles 35.97, 23.53, 33.82 degrees
Closest atoms and distances in Å follow each position.
Atoms (fractional coordinates):
1 Sm 0.6342 0.3529 0.2697  1 Er 3.29, 6 Sm 3.41-3.66, 1 Ho 3.44
2 Sm 0.7950 0.6471 0.7307  1 Er 3.29, 6 Sm 3.41-3.65, 1 Ho 3.44
3 Sm 0.4999 0.9999 0.0001  6 Sm 3.41-3.82, 2 Er 3.48
4 Sm 0.2051 0.3528 0.2692  1 Er 3.29, 6 Sm 3.41-3.65, 1 Ho 3.44
5 Sm 0.3661 0.6470 0.7302  1 Er 3.29, 6 Sm 3.41-3.66, 1 Ho 3.43
6 Ho 0.4997 0.5004 0.5001  8 Sm 3.43-3.78, 2 Er 3.46
7 Er 0.0000 0.0000 0.0000  6 Sm 3.29-3.48, 2 Ho 3.46

=====

A geometry-optimized Tm8Tl3P3N structure. Source: the Alexandria database, functional PBE.

Output
**Calculated volume**: 385.0 Å³/f.u.
**Magnetization**: 0.000 μB per atom
**Formation energy (no corrections)**: -912 meV per atom

Cell lengths 7.5822, 7.5796, 8.8869 Å; angles 115.28, 90.01, 119.96 degrees
Closest atoms and distances in Å follow each position.
Atoms (fractional coordinates):
1 Tm 0.2670 0.5339 0.3007  3 P 2.68
2 Tm 0.7330 0.4661 0.6993  3 P 2.68
3 Tm 0.7885 0.5769 0.3151  1 N 2.43, 2 P 2.71
4 Tm 0.2115 0.4231 0.6849  1 N 2.43, 2 P 2.71
5 Tm 0.7884 0.0267 0.3152  1 N 2.43, 2 P 2.71
6 Tm 0.2116 0.9733 0.6848  1 N 2.43, 2 P 2.71
7 Tm 0.2383 0.0269 0.3152  1 N 2.43, 2 P 2.71
8 Tm 0.7617 0.9731 0.6848  1 N 2.43, 2 P 2.71
9 Tl 0.0000 0.0000 0.0000  6 Tm 3.19-3.21
10 Tl 0.0000 0.5000 0.0000  6 Tm 3.19-3.21
11 Tl 0.5000 0.5000 0.0000  6 Tm 3.19-3.21
12 P 0.5000 0.0000 0.5000  6 Tm 2.68-2.71
13 P 0.5000 0.5000 0.5000  6 Tm 2.68-2.71
14 P 0.0000 0.5000 0.5000  6 Tm 2.68-2.71
15 N 0.0000 0.0000 0.5000  6 Tm 2.43

=====

A geometry-optimized CdNiH2Cl structure. Source: the Alexandria database, functional PBE.

Output
**Calculated total energy**: -11.77 eV per formula unit
**Calculated volume**: 78.5 Å³/f.u.
**Magnetization**: 0.051 μB per atom

Cell lengths 3.5389, 6.2712, 3.5389 Å; angles 90.00, 90.00, 90.00 degrees
Closest atoms and distances in Å follow each position.
Atoms (fractional coordinates):
1 Ni 0.0000 0.5000 0.0000  4 Cd 2.50
2 Cl 0.0000 0.0000 0.0000  4 H 1.77
3 H 0.0000 0.0000 0.5000  2 Cl 1.77
4 H 0.5000 0.0000 0.0000  2 Cl 1.77
5 Cd 0.5000 0.5000 0.5000  4 Ni 2.50

=====

A geometry-optimized Na2TePF structure. Source: the Alexandria database, functional PBE.

Output
**Calculated volume**: 123.9 Å³/f.u.
**Magnetization**: 0.000 μB per atom
**Formation energy (no corrections)**: -568 meV per atom

Cell lengths 5.6912, 3.8252, 5.6912 Å; angles 90.00, 90.00, 90.00 degrees
Closest atoms and distances in Å follow each position.
Atoms (fractional coordinates):
1 P 0.0000 0.0000 0.0000  2 F 1.91
2 F 0.0000 0.5000 0.0000  2 P 1.91
3 Te 0.5000 0.5000 0.5000  8 Na 3.43, 2 Te 3.83
4 Na 0.0000 0.0000 0.5000  2 P 2.85
5 Na 0.5000 0.0000 0.0000  2 P 2.85

=====

A geometry-optimized Na3Pu2F8 structure. Source: the Alexandria database, functional PBE.

Output
**Calculated volume**: 188.0 Å³/f.u.
**Magnetization**: 0.846 μB per atom
**Formation energy (no corrections)**: -3085 meV per atom

Cell lengths 4.0007, 7.0997, 7.1008 Å; angles 68.78, 90.00, 90.00 degrees
Closest atoms and distances in Å follow each position.
Atoms (fractional coordinates):
1 Na 0.5000 0.0000 0.0000  8 F 2.42-2.48
2 Na 0.0000 0.7238 0.2762  6 F 2.31-2.50
3 Na 0.0000 0.2762 0.7238  6 F 2.31-2.50
4 Pu 0.5000 0.7378 0.7378  8 F 2.40-2.56
5 Pu 0.5000 0.2622 0.2622  8 F 2.40-2.56
6 F 0.0000 0.3758 0.3758  2 Na 2.31, 2 Pu 2.40
7 F 0.0000 0.6242 0.6242  2 Na 2.31, 2 Pu 2.40
8 F 0.0000 0.8746 0.8745  4 Na 2.48-2.66, 2 Pu 2.56, 4 F 2.78
9 F 0.0000 0.1254 0.1255  4 Na 2.48-2.66, 2 Pu 2.56, 4 F 2.78
10 F 0.5000 0.3651 0.8851  3 Na 2.42-2.50, 2 Pu 2.47-2.51
11 F 0.5000 0.8850 0.3651  3 Na 2.42-2.50, 2 Pu 2.47-2.51
12 F 0.5000 0.1150 0.6349  3 Na 2.42-2.50, 2 Pu 2.47-2.51
13 F 0.5000 0.6349 0.1149  3 Na 2.42-2.50, 2 Pu 2.47-2.51

=====

A geometry-optimized La2ReB structure. Source: the Alexandria database, functional PBE.

Output
**ΔH_f (0 K)**: 0.78 eV per formula unit
**Calculated volume**: 108.7 Å³/f.u.
**Magnetization**: 0.000 μB per atom

Cell lengths 10.3096, 10.3096, 7.5717 Å; angles 47.09, 47.09, 90.00 degrees
Closest atoms and distances in Å follow each position.
Atoms (fractional coordinates):
1 Re 0.0000 0.0000 0.0000  2 B 2.05
2 Re 0.7500 0.2500 0.5000  2 B 2.05
3 B 0.5000 0.5000 0.0000  2 Re 2.05
4 B 0.2500 0.7500 0.5000  2 Re 2.05
5 La 0.4425 0.1250 0.2500  2 B 2.72
6 La 0.3075 0.6250 0.2500  2 B 2.72
7 La 0.3750 0.5575 0.7500  2 B 2.72
8 La 0.8750 0.6925 0.7500  2 B 2.72

=====

A geometry-optimized Ti2VCuS structure. Source: the Alexandria database, functional PBE.

Output
**ΔE to the lowest computed polymorph**: 0.000 eV/atom
**Calculated volume**: 90.9 Å³/f.u.
**Magnetization**: 0.140 μB per atom
**Formation energy (no corrections)**: 556 meV per atom

Cell lengths 4.5846, 4.3225, 4.5846 Å; angles 90.00, 90.00, 90.00 degrees
Closest atoms and distances in Å follow each position.
Atoms (fractional coordinates):
1 S 0.0000 0.5000 0.0000  2 V 2.16
2 Ti 0.0000 0.0000 0.5000  2 V 2.29
3 Ti 0.5000 0.0000 0.0000  2 V 2.29
4 Cu 0.5000 0.5000 0.5000  8 Ti 3.15, 4 S 3.24
5 V 0.0000 0.0000 0.0000  2 S 2.16, 4 Ti 2.29

=====

A geometry-optimized Y3Br2 structure. Source: the Alexandria database, functional PBE.

Output
**ΔE to the lowest computed polymorph**: 0.000 eV/atom
**Calculated volume**: 144.1 Å³/f.u.
**Magnetization**: 0.000 μB per atom
**Formation energy (no corrections)**: -631 meV per atom

Cell lengths 9.8495, 8.4754, 6.6612 Å; angles 80.21, 57.99, 41.79 degrees
Closest atoms and distances in Å follow each position.
Atoms (fractional coordinates):
1 Y 0.6701 0.7015 0.0761  3 Br 2.90-3.21
2 Y 0.5523 0.0761 0.7015  3 Br 2.90-3.21
3 Y 0.1739 0.6977 0.5799  3 Br 2.90-3.21
4 Y 0.5485 0.5799 0.6977  3 Br 2.90-3.21
5 Y 0.0964 0.4036 0.4036  4 Br 2.94-3.10
6 Y 0.8464 0.1536 0.1536  4 Br 2.94-3.10
7 Br 0.5355 0.3047 0.0140  5 Y 2.90-3.21
8 Br 0.1457 0.0140 0.3047  5 Y 2.90-3.21
9 Br 0.2360 0.1043 0.7145  5 Y 2.90-3.21
10 Br 0.9453 0.7145 0.1043  5 Y 2.90-3.21

=====

A geometry-optimized LaAgAs2N structure. Source: the Alexandria database, functional PBE.

Output
**Calculated volume**: 201.1 Å³/f.u.
**Magnetization**: 0.609 μB per atom
**Formation energy (no corrections)**: 1636 meV per atom

Cell lengths 5.7099, 6.1692, 5.7099 Å; angles 90.00, 90.00, 90.00 degrees
Closest atoms and distances in Å follow each position.
Atoms (fractional coordinates):
1 As 0.0000 0.0000 0.5000  2 La 2.85
2 As 0.5000 0.0000 0.0000  2 La 2.85
3 N 0.5000 0.5000 0.5000  4 Ag 4.04, 8 As 4.20
4 Ag 0.0000 0.5000 0.0000  2 La 3.08
5 La 0.0000 0.0000 0.0000  4 As 2.85, 2 Ag 3.08

=====

A geometry-optimized Li2YThAu4 structure. Source: the Alexandria database, functional PBE.

Output
**ΔH_f (0 K)**: -5.24 eV per formula unit
**Calculated volume**: 170.2 Å³/f.u.
**Magnetization**: 0.000 μB per atom

Cell lengths 4.9546, 4.9546, 8.5027 Å; angles 73.06, 73.06, 60.00 degrees
Closest atoms and distances in Å follow each position.
Atoms (fractional coordinates):
1 Li 0.7530 0.7530 0.7411  8 Au 2.89-3.10
2 Li 0.2470 0.2470 0.2589  8 Au 2.89-3.10
3 Y 0.5000 0.5000 0.5000  8 Au 2.97-3.02
4 Th 0.0000 0.0000 0.0000  8 Au 3.04-3.05
5 Au 0.3762 0.3762 0.8714  1 Y 2.97, 3 Th 3.04, 4 Li 3.04-3.10
6 Au 0.8731 0.8731 0.3808  4 Li 2.89-3.02, 3 Y 3.02, 1 Th 3.05
7 Au 0.1269 0.1269 0.6192  4 Li 2.89-3.02, 3 Y 3.02, 1 Th 3.05
8 Au 0.6238 0.6238 0.1286  1 Y 2.97, 3 Th 3.04, 4 Li 3.04-3.10